Compound: TmThTeOs
Source: Alexandria
Functional: GGA-PBE
Structure: relaxed

CIF file:
```
data_TmThTeOs
_cell_length_a 7.868
_cell_length_b 7.868
_cell_length_c 7.868
_cell_angle_alpha 30.44
_cell_angle_beta 30.44
_cell_angle_gamma 30.44
_space_group_name_H-M_alt 'P 1'
_space_group_IT_number 1
loop_
_space_group_symop_operation_xyz
'x,y,z'
loop_
_atom_site_label
_atom_site_type_symbol
_atom_site_fract_x
_atom_site_fract_y
_atom_site_fract_z
_atom_site_occupancy
Tm1 Tm 0.000 0.000 0.000 1
Th1 Th 0.801 0.801 0.801 1
Te1 Te 0.574 0.574 0.574 1
Os1 Os 0.402 0.402 0.402 1
```

Computed properties:
Magnetization, μB per cell: 0.00
Formation energy (no corrections), eV per atom: -0.636
Density of states at the Fermi level, states/eV/f.u.: 3.4